The following is a meta-GGA SCAN calculation of a crystal of TlCdP2 relaxed with PBEsol, from the Alexandria database.

Values from the calculation:
The value obtained for the offset from the most stable computed form is 0.417 eV per atom. The value obtained for the magnetic moment is 0.00 μB per atom.

a b c (Å): 5.319 5.319 2.851
angles (deg): 90.00 90.00 90.00
Fractional positions:
Tl: 0.000 0.000 0.000
Cd: 0.500 0.500 0.000
P: 0.000 0.500 0.500
P: 0.500 0.000 0.500


The following is a meta-GGA SCAN calculation of a crystal of TlCdP2 relaxed with PBEsol, from the Alexandria database.

Values from the calculation:
The value obtained for the offset from the most stable computed form is 0.000 eV per atom. The value obtained for the magnetic moment is 0.00 μB per atom.

a b c (Å): 5.878 5.878 5.878
angles (deg): 148.21 124.36 65.52
Fractional positions:
Tl: 0.000 0.000 0.000
Cd: 0.294 0.794 0.500
P: 0.556 0.556 0.000
P: 0.705 0.205 0.500


The following is a meta-GGA SCAN calculation of a crystal of TlCdP2 relaxed with PBEsol, from the Alexandria database.

Values from the calculation:
The value obtained for the offset from the most stable computed form is 0.359 eV per atom. The value obtained for the magnetic moment is 0.00 μB per atom.

a b c (Å): 3.071 3.071 8.798
angles (deg): 90.00 90.00 101.61
Fractional positions:
Tl: 0.000 0.000 0.000
Cd: 0.000 0.000 0.500
P: 0.500 0.500 0.281
P: 0.500 0.500 0.719


The following is a meta-GGA SCAN calculation of a crystal of TlCd2P relaxed with PBEsol, from the Alexandria database.

Values from the calculation:
The total energy comes out at -35.78 eV per atom. The value obtained for the magnetic moment is 0.00 μB per atom.

a b c (Å): 4.164 4.164 6.815
angles (deg): 107.94 107.94 60.32
Fractional positions:
Tl: 0.000 0.000 0.000
Cd: 0.525 0.525 0.579
Cd: 0.770 0.770 0.311
P: 0.239 0.239 0.724


The following is a meta-GGA SCAN calculation of a crystal of TlCd2P relaxed with PBEsol, from the Alexandria database.

Values from the calculation:
The total energy comes out at -35.62 eV per atom. The value obtained for the magnetic moment is 0.00 μB per atom.

a b c (Å): 3.262 3.262 8.185
angles (deg): 90.00 90.00 90.00
Fractional positions:
Tl: 0.000 0.000 0.000
Cd: 0.000 0.000 0.543
Cd: 0.500 0.500 0.297
P: 0.500 0.500 0.740


The following is a meta-GGA SCAN calculation of a crystal of TlCd2P relaxed with PBEsol, from the Alexandria database.

Values from the calculation:
The total energy comes out at -35.65 eV per atom. The value obtained for the magnetic moment is 0.00 μB per atom.

a b c (Å): 3.077 3.729 7.577
angles (deg): 90.00 90.00 90.00
Fractional positions:
Tl: 0.000 0.000 0.000
Cd: 0.500 0.500 0.294
Cd: 0.500 0.500 0.706
P: 0.000 0.000 0.500